DFT (GGA-PBE) results for K2LiCd after structural relaxation.

CIF file:
```
data_K2LiCd
_space_group_name_H-M_alt 'P 1'
_space_group_IT_number 1
_space_group_name_Hall 'P 1'
_cell_length_a 4.499
_cell_length_b 4.405
_cell_length_c 9.553
_cell_angle_alpha 62.58
_cell_angle_beta 90.00
_cell_angle_gamma 90.00
loop_
_atom_site_label
_atom_site_fract_x
_atom_site_fract_y
_atom_site_fract_z
K1 0.000 0.009 0.991
Cd1 0.500 0.750 0.750
Li1 0.500 0.250 0.250
K2 0.000 0.491 0.509
```

Computed properties:
* energy relative to the elements: 0.088 eV/atom
* size of the total moment: 0.00 μB per formula unit
* space-group type: Pmmm, No. 47

---

DFT (GGA-PBE) results for Sm3CoSb after structural relaxation.

CIF file:
```
data_Sm3CoSb
_space_group_name_H-M_alt 'P 1'
_space_group_IT_number 1
_space_group_name_Hall 'P 1'
_cell_length_a 4.302
_cell_length_b 6.752
_cell_length_c 9.458
_cell_angle_alpha 90.00
_cell_angle_beta 90.00
_cell_angle_gamma 90.00
loop_
_atom_site_label
_atom_site_fract_x
_atom_site_fract_y
_atom_site_fract_z
Sm1 0.750 0.993 0.649
Sb1 0.750 0.250 0.147
Co1 0.250 0.250 0.601
Sm2 0.750 0.507 0.649
Sm3 0.750 0.750 0.090
Sm4 0.250 0.493 0.351
Sb2 0.250 0.750 0.853
Co2 0.750 0.750 0.399
Sm5 0.250 0.250 0.910
Sm6 0.250 0.007 0.351
```

Computed properties:
* relative energy among the computed polymorphs: 0.0 meV per atom
* ΔE_f (raw): -0.4734 eV/atom
* size of the total moment: 0.00 μB per formula unit
* space-group type: Pmmn, No. 59

---

DFT (GGA-PBE) results for TbSc3Rh after structural relaxation.

CIF file:
```
data_TbSc3Rh
_space_group_name_H-M_alt 'P 1'
_space_group_IT_number 1
_space_group_name_Hall 'P 1'
_cell_length_a 5.068
_cell_length_b 5.068
_cell_length_c 5.068
_cell_angle_alpha 90.00
_cell_angle_beta 90.00
_cell_angle_gamma 90.00
loop_
_atom_site_label
_atom_site_fract_x
_atom_site_fract_y
_atom_site_fract_z
Sc1 0.000 0.000 0.500
Rh1 0.000 0.000 0.000
Sc2 0.000 0.500 0.000
Tb1 0.500 0.500 0.500
Sc3 0.500 0.000 0.000
```

Computed properties:
* energy relative to the elements: -0.256 eV/atom
* size of the total moment: 0.00 μB per formula unit
* space-group type: Pm-3m, No. 221

---

DFT (GGA-PBE) results for Ba6NiP2Cl3 after structural relaxation.

CIF file:
```
data_Ba6NiP2Cl3
_space_group_name_H-M_alt 'P 1'
_space_group_IT_number 1
_space_group_name_Hall 'P 1'
_cell_length_a 7.966
_cell_length_b 7.966
_cell_length_c 8.203
_cell_angle_alpha 99.58
_cell_angle_beta 99.58
_cell_angle_gamma 119.79
loop_
_atom_site_label
_atom_site_fract_x
_atom_site_fract_y
_atom_site_fract_z
Ba1 0.742 0.742 0.230
Ba2 0.926 0.595 0.778
Cl1 0.500 0.500 0.500
Ni1 0.000 0.000 0.000
Ba3 0.405 0.074 0.222
Ba4 0.258 0.258 0.770
P1 0.335 0.665 0.000
Cl2 0.824 0.176 0.500
Cl3 0.176 0.824 0.500
Ba5 0.074 0.405 0.222
P2 0.665 0.335 0.000
Ba6 0.595 0.926 0.778
```

Computed properties:
* ΔE_f (raw): -1.3648 eV/atom
* size of the total moment: 0.97 μB per formula unit
* space-group type: C2/m, No. 12

---

DFT (GGA-PBE) results for Cs3Pm3IrO8 after structural relaxation.

CIF file:
```
data_Cs3Pm3IrO8
_space_group_name_H-M_alt 'P 1'
_space_group_IT_number 1
_space_group_name_Hall 'P 1'
_cell_length_a 7.078
_cell_length_b 7.079
_cell_length_c 8.046
_cell_angle_alpha 116.12
_cell_angle_beta 90.00
_cell_angle_gamma 120.00
loop_
_atom_site_label
_atom_site_fract_x
_atom_site_fract_y
_atom_site_fract_z
O1 0.798 0.047 0.345
Cs1 0.000 0.000 0.000
Cs2 0.000 0.500 0.000
Pm1 0.500 0.500 0.500
O2 0.278 0.556 0.334
Ir1 0.000 0.000 0.500
O3 0.202 0.404 0.655
Cs3 0.500 0.500 0.000
O4 0.722 0.444 0.666
O5 0.249 0.047 0.345
O6 0.751 0.953 0.655
O7 0.202 0.953 0.655
Pm2 0.500 0.000 0.500
Pm3 0.000 0.500 0.500
O8 0.798 0.596 0.345
```

Computed properties:
* ΔE_f (raw): -2.1337 eV/atom
* size of the total moment: 1.06 μB per formula unit
* space-group type: R-3m, No. 166

---

DFT (GGA-PBE) results for PmPdPb2 after structural relaxation.

CIF file:
```
data_PmPdPb2
_space_group_name_H-M_alt 'P 1'
_space_group_IT_number 1
_space_group_name_Hall 'P 1'
_cell_length_a 4.658
_cell_length_b 4.658
_cell_length_c 9.558
_cell_angle_alpha 90.00
_cell_angle_beta 90.00
_cell_angle_gamma 90.00
loop_
_atom_site_label
_atom_site_fract_x
_atom_site_fract_y
_atom_site_fract_z
Pd1 0.500 0.500 0.000
Pm1 0.000 0.500 0.217
Pb1 0.500 0.000 0.180
Pb2 0.500 0.500 0.500
Pd2 0.000 0.000 0.000
Pm2 0.500 0.000 0.783
Pb3 0.000 0.000 0.500
Pb4 0.000 0.500 0.820
```

Computed properties:
* relative energy among the computed polymorphs: 19.9 meV per atom
* energy relative to the elements: -0.503 eV/atom
* size of the total moment: 0.00 μB per formula unit
* space-group type: P4/nmm, No. 129

---

DFT (GGA-PBE) results for NaSr2CdAu after structural relaxation.

CIF file:
```
data_NaSr2CdAu
_space_group_name_H-M_alt 'P 1'
_space_group_IT_number 1
_space_group_name_Hall 'P 1'
_cell_length_a 6.098
_cell_length_b 6.098
_cell_length_c 5.365
_cell_angle_alpha 90.00
_cell_angle_beta 90.00
_cell_angle_gamma 90.00
loop_
_atom_site_label
_atom_site_fract_x
_atom_site_fract_y
_atom_site_fract_z
Cd1 0.000 0.000 0.500
Na1 0.500 0.500 0.500
Au1 0.000 0.000 0.000
Sr1 0.000 0.500 0.000
Sr2 0.500 0.000 0.000
```

Computed properties:
* energy relative to the elements: -0.263 eV/atom
* size of the total moment: 0.00 μB per formula unit
* space-group type: P4/mmm, No. 123

---

DFT (GGA-PBE) results for MoW2Br after structural relaxation.

CIF file:
```
data_MoW2Br
_space_group_name_H-M_alt 'P 1'
_space_group_IT_number 1
_space_group_name_Hall 'P 1'
_cell_length_a 3.029
_cell_length_b 4.618
_cell_length_c 4.725
_cell_angle_alpha 90.00
_cell_angle_beta 90.00
_cell_angle_gamma 90.00
loop_
_atom_site_label
_atom_site_fract_x
_atom_site_fract_y
_atom_site_fract_z
Br1 0.500 0.000 0.500
W1 0.500 0.500 0.000
W2 0.000 0.000 0.000
Mo1 0.000 0.500 0.500
```

Computed properties:
* relative energy among the computed polymorphs: 425.8 meV per atom
* ΔE_f (raw): 0.9583 eV/atom
* size of the total moment: 0.00 μB per formula unit
* space-group type: Pmmm, No. 47

---

DFT (GGA-PBE) results for In2AsBr after structural relaxation.

CIF file:
```
data_In2AsBr
_space_group_name_H-M_alt 'P 1'
_space_group_IT_number 1
_space_group_name_Hall 'P 1'
_cell_length_a 5.236
_cell_length_b 5.236
_cell_length_c 5.236
_cell_angle_alpha 60.00
_cell_angle_beta 60.00
_cell_angle_gamma 60.00
loop_
_atom_site_label
_atom_site_fract_x
_atom_site_fract_y
_atom_site_fract_z
Br1 0.500 0.500 0.500
In1 0.250 0.250 0.250
In2 0.750 0.750 0.750
As1 0.000 0.000 0.000
```

Computed properties:
* relative energy among the computed polymorphs: 181.9 meV per atom
* ΔE_f (raw): -0.1023 eV/atom
* size of the total moment: 0.00 μB per formula unit
* space-group type: Fm-3m, No. 225

---

DFT (GGA-PBE) results for CaEuTlAg after structural relaxation.

CIF file:
```
data_CaEuTlAg
_space_group_name_H-M_alt 'P 1'
_space_group_IT_number 1
_space_group_name_Hall 'P 1'
_cell_length_a 5.442
_cell_length_b 5.442
_cell_length_c 5.442
_cell_angle_alpha 60.00
_cell_angle_beta 60.00
_cell_angle_gamma 60.00
loop_
_atom_site_label
_atom_site_fract_x
_atom_site_fract_y
_atom_site_fract_z
Ag1 0.250 0.250 0.250
Ca1 0.500 0.500 0.500
Tl1 0.750 0.750 0.750
Eu1 0.000 0.000 0.000
```

Computed properties:
* energy relative to the elements: -0.349 eV/atom
* size of the total moment: 7.17 μB per formula unit
* space-group type: F-43m, No. 216

---

DFT (GGA-PBE) results for MgNbAl2 after structural relaxation.

CIF file:
```
data_MgNbAl2
_space_group_name_H-M_alt 'P 1'
_space_group_IT_number 1
_space_group_name_Hall 'P 1'
_cell_length_a 3.005
_cell_length_b 3.005
_cell_length_c 9.527
_cell_angle_alpha 80.93
_cell_angle_beta 80.93
_cell_angle_gamma 60.00
loop_
_atom_site_label
_atom_site_fract_x
_atom_site_fract_y
_atom_site_fract_z
Al1 0.747 0.747 0.759
Mg1 0.500 0.500 0.500
Nb1 0.000 0.000 0.000
Al2 0.253 0.253 0.241
```

Computed properties:
* energy relative to the elements: -0.070 eV/atom
* size of the total moment: 0.00 μB per formula unit
* space-group type: R-3m, No. 166

---

DFT (GGA-PBE) results for RbBePPd2 after structural relaxation.

CIF file:
```
data_RbBePPd2
_space_group_name_H-M_alt 'P 1'
_space_group_IT_number 1
_space_group_name_Hall 'P 1'
_cell_length_a 4.885
_cell_length_b 4.118
_cell_length_c 4.885
_cell_angle_alpha 90.00
_cell_angle_beta 90.00
_cell_angle_gamma 90.00
loop_
_atom_site_label
_atom_site_fract_x
_atom_site_fract_y
_atom_site_fract_z
Be1 0.000 0.500 0.000
Pd1 0.000 0.000 0.500
Pd2 0.500 0.000 0.000
P1 0.000 0.000 0.000
Rb1 0.500 0.500 0.500
```

Computed properties:
* energy relative to the elements: -0.032 eV/atom
* size of the total moment: 0.00 μB per formula unit
* space-group type: P4/mmm, No. 123